(1)
Entry from Alexandria via LeMat-Bulk: crystalline NdEr3Tm at its relaxed geometry (PBE-GGA).

VASP energy	-4.25	eV per atom
energy of formation	339	meV/atom
size of the total moment	0.0	μB/f.u.
volume	344.2	Å³ per cell

Cell: 3.6226 8.4566 11.5024 Å, 90.00 90.00 102.38°
Positions (direct):
Nd1 0.3058 0.1105 0.2500
Nd2 0.6942 0.8895 0.7500
Er1 0.8475 0.1943 0.9979
Er2 0.1525 0.8057 0.0021
Er3 0.8475 0.1943 0.5021
Er4 0.1525 0.8057 0.4979
Er5 0.6419 0.7835 0.2500
Er6 0.3581 0.2165 0.7500
Tm1 0.9795 0.4578 0.2500
Tm2 0.0205 0.5422 0.7500



(2)
Entry from Alexandria via LeMat-Bulk: crystalline ScTl3Sn at its relaxed geometry (PBE-GGA).

VASP energy	-2.85	eV per atom
energy of formation	635	meV/atom
size of the total moment	0.0	μB/f.u.
volume	185.5	Å³ per cell

Cell: 5.7034 5.7034 5.7034 Å, 90.00 90.00 90.00°
Positions (direct):
Sc1 0.5000 0.5000 0.5000
Tl1 0.0000 0.5000 0.0000
Tl2 0.0000 0.0000 0.5000
Tl3 0.5000 0.0000 0.0000
Sn1 0.0000 0.0000 0.0000



(3)
Entry from Alexandria via LeMat-Bulk: crystalline Pm2Nd5HoEr at its relaxed geometry (PBE-GGA).

VASP energy	-4.44	eV per atom
energy of formation	280	meV/atom
size of the total moment	0.0	μB/f.u.
volume	621.9	Å³ per cell

Cell: 8.6085 8.6085 10.3667 Å, 114.53 114.53 90.00°
Positions (direct):
Pm1 0.1216 0.3784 0.0000
Pm2 0.6216 0.1216 0.0000
Pm3 0.3784 0.8784 0.0000
Pm4 0.8784 0.6216 0.0000
Nd1 0.9258 0.4258 0.2860
Nd2 0.6397 0.1397 0.7140
Nd3 0.0742 0.5742 0.7140
Nd4 0.1397 0.0742 0.7140
Nd5 0.5742 0.6397 0.7140
Nd6 0.8603 0.9258 0.2860
Nd7 0.4258 0.3603 0.2860
Nd8 0.3603 0.8603 0.2860
Nd9 0.5000 0.5000 0.0000
Nd10 0.0000 0.0000 0.0000
Ho1 0.2500 0.2500 0.5000
Ho2 0.7500 0.7500 0.5000
Er1 0.2500 0.7500 0.5000
Er2 0.7500 0.2500 0.5000



(4)
Entry from Alexandria via LeMat-Bulk: crystalline Ca4MgSn2 at its relaxed geometry (PBE-GGA).

VASP energy	-3.02	eV per atom
energy of formation	-509	meV/atom
size of the total moment	0.0	μB/f.u.
volume	220.4	Å³ per cell

Cell: 5.3988 5.3988 9.2708 Å, 73.07 73.07 60.00°
Positions (direct):
Ca1 0.8722 0.8722 0.3834
Ca2 0.1278 0.1278 0.6166
Ca3 0.6208 0.6208 0.1375
Ca4 0.3792 0.3792 0.8625
Mg1 0.0000 0.0000 0.0000
Sn1 0.7484 0.7484 0.7549
Sn2 0.2516 0.2516 0.2451



(5)
Entry from Alexandria via LeMat-Bulk: crystalline Tm2BeC2 at its relaxed geometry (PBE-GGA).

VASP energy	-6.49	eV per atom
energy of formation	-269	meV/atom
size of the total moment	0.0	μB/f.u.
volume	290.4	Å³ per cell

Cell: 5.0047 6.9252 8.3803 Å, 90.00 90.00 90.00°
Positions (direct):
Tm1 0.7500 0.6369 0.5920
Tm2 0.2500 0.8631 0.0920
Tm3 0.2500 0.3631 0.4080
Tm4 0.7500 0.1369 0.9080
Tm5 0.7500 0.0234 0.3431
Tm6 0.2500 0.4766 0.8431
Tm7 0.2500 0.9766 0.6569
Tm8 0.7500 0.5234 0.1569
Be1 0.7500 0.2363 0.5996
Be2 0.2500 0.2637 0.0996
Be3 0.2500 0.7637 0.4004
Be4 0.7500 0.7363 0.9004
C1 0.7500 0.4920 0.8470
C2 0.2500 0.0080 0.3470
C3 0.2500 0.5080 0.1530
C4 0.7500 0.9920 0.6530
C5 0.7500 0.8549 0.0806
C6 0.2500 0.6451 0.5806
C7 0.2500 0.1451 0.9194
C8 0.7500 0.3549 0.4194



(6)
Entry from Alexandria via LeMat-Bulk: crystalline SmZrNi at its relaxed geometry (PBE-GGA).

VASP energy	-6.48	eV per atom
energy of formation	-133	meV/atom
size of the total moment	0.0	μB/f.u.
volume	66.3	Å³ per cell

Cell: 3.3692 3.3692 6.3109 Å, 105.48 105.48 90.00°
Positions (direct):
Ni1 0.6956 0.6956 0.3912
Zr1 0.2938 0.2938 0.5876
Sm1 0.0106 0.0106 0.0212



(7)
Entry from Alexandria via LeMat-Bulk: crystalline CrTc2PbW at its relaxed geometry (PBE-GGA).

VASP energy	-7.68	eV per atom
energy of formation	1728	meV/atom
size of the total moment	0.0	μB/f.u.
volume	94.1	Å³ per cell

Cell: 4.4048 4.8479 4.4048 Å, 90.00 90.00 90.00°
Positions (direct):
Pb1 0.0000 0.5000 0.0000
Cr1 0.0000 0.0000 0.0000
Tc1 0.0000 0.0000 0.5000
Tc2 0.5000 0.0000 0.0000
W1 0.5000 0.5000 0.5000